VASP calculation (PBE) on crystalline SrZnPCl2 at its relaxed geometry.

## Properties
Space-group type: No. 123
Raw formation energy, kJ/mol of atoms: -82.5
Calculated volume, Å³ per cell: 122.5
VASP energy, eV/atom: -3.267

Unit cell a=5.0676 b=5.0676 c=4.7718 alpha=90.00 beta=90.00 gamma=90.00
With the nearest neighbours (Å) after each atom.
Fractional coordinates of all 5 atoms:
1 Sr 0.0000 0.0000 0.0000  8 Cl 3.48, 4 P 3.58
2 Zn 0.5000 0.5000 0.5000  2 P 2.39, 4 Cl 2.53
3 P 0.5000 0.5000 0.0000  2 Zn 2.39
4 Cl 0.0000 0.5000 0.5000  2 Zn 2.53
5 Cl 0.5000 0.0000 0.5000  2 Zn 2.53